Compound: TiNb3C
Source: Alexandria
Functional: GGA-PBE
Structure: optimized geometry

Properties
- Crystal system: cubic
- Formation energy from the elements: 2.4017 eV per atom
- Total moment: 0.00 μB per cell
- Space group: Pm-3m, No. 221

Unit cell a=4.6338 b=4.6338 c=4.6338 alpha=90.00 beta=90.00 gamma=90.00
Closest atoms and distances in Å follow each position.
Element x y z (fractional)
Ti1 0.0000 0.0000 0.0000  6 Nb 2.32
Nb1 0.0000 0.0000 0.5000  2 Ti 2.32
Nb2 0.0000 0.5000 0.0000  2 Ti 2.32
Nb3 0.5000 0.0000 0.0000  2 Ti 2.32
C1 0.5000 0.5000 0.5000  12 Nb 3.28